Record 1
This record from Alexandria describes a geometry-optimized PaAl2Zn4 structure. The functional is PBE.

Cell: 8.623 6.872 5.050 Å, 90.00 125.83 90.00°
Space group C2/m (No. 12)
Symmetry-distinct sites (fractional):
Pa 0.000 0.000 0.000 (multiplicity 2)
Al 0.001 0.500 0.251 (multiplicity 4)
Zn 0.191 0.192 0.691 (multiplicity 8)

Total DFT energy (no corrections): -3.168 eV per atom

Record 2
This record from Alexandria describes a geometry-optimized Ba2PaSi2N6 structure. The functional is PBE.

Cell: 5.9586 5.9586 18.1329 Å, 90.00 90.00 120.00°
Space group R-3m (No. 166, hexagonal axes)
Symmetry-distinct sites (fractional):
Ba 0.0000 0.0000 0.2127 (multiplicity 6)
Pa 0.0000 0.0000 0.0000 (multiplicity 3)
Si 0.0000 0.0000 0.4138 (multiplicity 6)
N 0.0085 0.5042 0.2543 (multiplicity 18)

ΔE_f (raw): -0.98 eV/atom

Record 3
This record from Alexandria describes a geometry-optimized Ca3MnN3 structure. The functional is PBE.

Cell: 8.395 10.267 5.034 Å, 90.00 90.00 90.00°
Space group Cmcm (No. 63)
Symmetry-distinct sites (fractional):
Ca 0.000 0.108 0.250 (multiplicity 4)
Ca 0.212 0.384 0.250 (multiplicity 8)
Mn 0.000 0.301 0.750 (multiplicity 4)
N 0.000 0.126 0.750 (multiplicity 4)
N 0.192 0.374 0.750 (multiplicity 8)

ΔE_f (raw): -0.87 eV/atom
E above lowest polymorph: 0 meV/atom

Record 4
This record from Alexandria describes a geometry-optimized TbCdSn structure. The functional is PBE.

Cell: 7.725 11.825 15.462 Å, 90.00 90.00 90.00°
Space group Fddd (No. 70, origin choice 2)
Symmetry-distinct sites (fractional):
Tb 0.125 0.125 0.310 (multiplicity 16)
Cd 0.000 0.000 0.500 (multiplicity 16)
Sn 0.065 0.375 0.375 (multiplicity 16)

Total DFT energy (no corrections): -3.360 eV per atom

Ordered N(E_F) results: 5.02 3.93 1.01 2.43; unit states/eV/f.u..
Ordered total magnetic moment results: 0.000 0.000 0.289 0.000; unit μB/atom.